[1]
# Pm8ErIn6 | Alexandria | PBE | optimized geometry
data_Pm8ErIn6
_symmetry_space_group_name_H-M 'R -3'
_symmetry_Int_Tables_number 148
_symmetry_space_group_name_Hall '-R 3'
_cell_length_a 9.1806
_cell_length_b 9.1806
_cell_length_c 19.8279
_cell_angle_alpha 90.00
_cell_angle_beta 90.00
_cell_angle_gamma 120.00
loop_
_atom_site_label
_atom_site_type_symbol
_atom_site_fract_x
_atom_site_fract_y
_atom_site_fract_z
Pm1 Pm 0.0000 0.0000 0.1656
Pm2 Pm 0.0003 0.3341 0.3851
Er1 Er 0.0000 0.0000 0.5000
In1 In 0.0005 0.6725 0.4451
# - Energy of formation from the pure elements: -239 meV per atom
# - Crystal system: trigonal

=====

[2]
# KLiMgCl4 | Alexandria | PBE | optimized geometry
data_KLiMgCl4
_symmetry_space_group_name_H-M 'P 1 21/m 1'
_symmetry_Int_Tables_number 11
_cell_length_a 6.3599
_cell_length_b 7.7337
_cell_length_c 8.3823
_cell_angle_alpha 90.00
_cell_angle_beta 101.27
_cell_angle_gamma 90.00
loop_
_symmetry_equiv_pos_as_xyz
'x,y,z'
'-x,-y,-z'
'-x,y+1/2,-z'
'x,-y+1/2,z'
loop_
_atom_site_label
_atom_site_type_symbol
_atom_site_fract_x
_atom_site_fract_y
_atom_site_fract_z
K1 K 0.2149 0.2500 0.0945
Li1 Li 0.2846 0.2500 0.6736
Mg1 Mg 0.2183 0.7500 0.3244
Cl1 Cl 0.0389 0.0267 0.7298
Cl2 Cl 0.4074 0.7500 0.1076
Cl3 Cl 0.4855 0.2500 0.4594
# - Raw formation energy: -12.8 eV/f.u.
# - Crystal system: monoclinic

=====

[3]
# Cs2TaPbI6 | Alexandria | PBE | optimized geometry
data_Cs2TaPbI6
_symmetry_space_group_name_H-M 'F m -3 m'
_symmetry_Int_Tables_number 225
_symmetry_space_group_name_Hall '-F 4 2 3'
_cell_length_a 12.2330
_cell_length_b 12.2330
_cell_length_c 12.2330
_cell_angle_alpha 90.00
_cell_angle_beta 90.00
_cell_angle_gamma 90.00
loop_
_atom_site_label
_atom_site_type_symbol
_atom_site_fract_x
_atom_site_fract_y
_atom_site_fract_z
Cs1 Cs 0.2500 0.2500 0.2500
Ta1 Ta 0.0000 0.0000 0.0000
Pb1 Pb 0.0000 0.0000 0.5000
I1 I 0.0000 0.0000 0.2358
# - Raw formation energy: -7.0 eV/f.u.
# - Crystal system: cubic

=====

[4]
# CoCuSn | Alexandria | PBE | optimized geometry
data_CoCuSn
_symmetry_space_group_name_H-M 'I 4 m m'
_symmetry_Int_Tables_number 107
_symmetry_space_group_name_Hall 'I 4 -2'
_cell_length_a 2.8175
_cell_length_b 2.8175
_cell_length_c 13.5685
_cell_angle_alpha 90.00
_cell_angle_beta 90.00
_cell_angle_gamma 90.00
loop_
_atom_site_label
_atom_site_type_symbol
_atom_site_fract_x
_atom_site_fract_y
_atom_site_fract_z
Co1 Co 0.0000 0.0000 0.0000
Cu1 Cu 0.0000 0.0000 0.3887
Sn1 Sn 0.0000 0.0000 0.1908
# - Energy of formation from the pure elements: 572 meV per atom
# - Crystal system: tetragonal

=====

Quick rundown of raw total energy, same order as above: -187.739, -49.604, -134.187, -26.978 eV for the cell shown
Quick rundown of DOS(E_F), same order as above: 22.27, 0.00, 1.68, 3.64 states/eV/f.u.
Quick rundown of magnetic moment, same order as above: 0.0, 0.0, 12.0, 3.3 μB per cell